(1)
Ce6FeGe3: optimized geometry, PBE.

```
20
Lattice="7.834 0.245 0.250 0.075 7.838 0.250 0.075 0.076 7.842" Properties=species:S:1:pos:R:3 pbc="T T T"
Ce 1.420 4.044 4.133
Ce 3.972 4.060 6.744
Fe 3.992 4.080 4.171
Fe 0.000 0.000 0.000
Ge 3.843 7.119 7.277
Ce 0.999 6.200 6.339
Ce 6.177 1.133 6.339
Ce 1.807 1.847 7.069
Ce 4.012 4.099 1.599
Ce 3.973 6.652 4.208
Ce 6.564 4.116 4.209
Ce 4.011 1.507 4.134
Ge 7.033 3.996 7.278
Ge 0.951 0.972 4.186
Ge 0.951 4.163 1.064
Ge 7.034 7.187 4.157
Ce 6.177 6.313 1.274
Ce 6.985 1.959 2.003
Ce 1.807 7.026 2.003
Ge 4.142 1.041 1.065
```

Values from the calculation:
DFT formation energy, eV per atom: -0.382
Symmetry: R-3m (166)
Fermi-level density of states, states/eV/cell: 40.88
Total energy, eV per formula unit: -61.74


(2)
PuZrTlAg: optimized geometry, PBE.

```
4
Lattice="5.151 0.000 0.000 2.575 4.461 0.000 2.575 1.487 4.206" Properties=species:S:1:pos:R:3 pbc="T T T"
Zr 2.575 1.487 1.051
Ag 0.000 0.000 0.000
Tl 5.151 2.974 2.103
Pu 7.726 4.461 3.154
```

Values from the calculation:
DFT formation energy, eV per atom: 0.107
Symmetry: F-43m (216)
Fermi-level density of states, states/eV/cell: 9.75
Total energy, eV per formula unit: -27.67


(3)
IrRuCl2: optimized geometry, PBE.

```
4
Lattice="-3.906 -3.966 1.206 0.007 -5.461 -1.618 3.223 4.095 2.298" Properties=species:S:1:pos:R:3 pbc="T T T"
Cl 0.641 -3.040 0.237
Cl 0.000 0.000 0.000
Ru -1.316 -2.292 1.649
Ir -1.949 -4.713 -0.206
```

Values from the calculation:
Energy relative to the lowest polymorph listed for this composition, meV/atom: 1044
Symmetry: I-4m2 (119)
Fermi-level density of states, states/eV/cell: 5.99
Total energy, eV per formula unit: -17.47
E_form (uncorrected), eV per atom: 1.089


Q: The highest total energy belongs to which entry?
A: IrRuCl2